Ba3Bi4Pd2: relaxed, GGA-PBE.

Calculated values
* total magnetization: 0.0 Bohr magnetons per cell
* total energy: -38.0 eV/f.u.
* offset from the most stable computed form: 0.9 kJ per mole of atoms
* DFT formation energy: -0.71 eV/atom

Cell: 12.592 4.954 9.648 Å, 90.00 99.49 90.00°
Space group C2/m (No. 12)
Inequivalent atoms, fractional coordinates:
Ba: 0.000 0.000 0.000 (multiplicity 2)
Ba: 0.113 0.500 0.697 (multiplicity 4)
Bi: 0.100 0.000 0.386 (multiplicity 4)
Bi: 0.211 0.500 0.100 (multiplicity 4)
Pd: 0.212 0.500 0.409 (multiplicity 4)